No. 1
# PBE-GGA LiPrPa2N4, optimized geometry
data_LiPrPa2N4
_chemical_formula_sum 'Li2 Pr2 Pa4 N8'
_cell_length_a 3.577
_cell_length_b 6.056
_cell_length_c 11.318
_cell_angle_alpha 90.00
_cell_angle_beta 90.00
_cell_angle_gamma 107.18
_symmetry_space_group_name_H-M 'P 1'
_symmetry_Int_Tables_number 1
_symmetry_space_group_name_Hall 'P 1'
loop_
_atom_site_label
_atom_site_fract_x
_atom_site_fract_y
_atom_site_fract_z
_atom_site_occupancy
Li1 0.833 0.667 0.750 1
Li2 0.167 0.333 0.250 1
Pr1 0.098 0.197 0.750 1
Pr2 0.902 0.803 0.250 1
Pa1 0.371 0.741 0.557 1
Pa2 0.629 0.259 0.057 1
Pa3 0.629 0.259 0.443 1
Pa4 0.371 0.741 0.943 1
N1 0.261 0.521 0.107 1
N2 0.739 0.479 0.607 1
N3 0.739 0.479 0.893 1
N4 0.261 0.521 0.393 1
N5 0.000 0.000 0.500 1
N6 0.000 0.000 0.000 1
N7 0.436 0.873 0.750 1
N8 0.564 0.127 0.250 1
# Symmetry ... Cmcm (63)
# Crystal system ... orthorhombic
# Uncorrected formation energy ... -1380 meV/atom

---

No. 2
# PBE-GGA LiPrPaN3, optimized geometry
data_LiPrPaN3
_chemical_formula_sum 'Li2 Pr2 Pa2 N6'
_cell_length_a 3.519
_cell_length_b 7.411
_cell_length_c 6.969
_cell_angle_alpha 102.02
_cell_angle_beta 90.00
_cell_angle_gamma 90.00
_symmetry_space_group_name_H-M 'P 1'
_symmetry_Int_Tables_number 1
_symmetry_space_group_name_Hall 'P 1'
loop_
_atom_site_label
_atom_site_fract_x
_atom_site_fract_y
_atom_site_fract_z
_atom_site_occupancy
Li1 0.250 0.072 0.587 1
Li2 0.750 0.928 0.413 1
Pr1 0.250 0.188 0.232 1
Pr2 0.750 0.812 0.768 1
Pa1 0.250 0.667 0.185 1
Pa2 0.750 0.333 0.815 1
N1 0.750 0.857 0.133 1
N2 0.250 0.143 0.867 1
N3 0.250 0.804 0.499 1
N4 0.750 0.196 0.501 1
N5 0.750 0.443 0.150 1
N6 0.250 0.557 0.850 1
# Symmetry ... P2_1/m (11)
# Crystal system ... monoclinic
# Uncorrected formation energy ... -1255 meV/atom

---

No. 3
# PBE-GGA LiPrPa2N5, optimized geometry
data_LiPrPa2N5
_chemical_formula_sum 'Li2 Pr2 Pa4 N10'
_cell_length_a 3.495
_cell_length_b 7.300
_cell_length_c 9.954
_cell_angle_alpha 90.00
_cell_angle_beta 90.00
_cell_angle_gamma 103.85
_symmetry_space_group_name_H-M 'P 1'
_symmetry_Int_Tables_number 1
_symmetry_space_group_name_Hall 'P 1'
loop_
_atom_site_label
_atom_site_fract_x
_atom_site_fract_y
_atom_site_fract_z
_atom_site_occupancy
Li1 0.522 0.045 0.994 1
Li2 0.478 0.955 0.494 1
Pr1 0.799 0.598 0.475 1
Pr2 0.201 0.402 0.975 1
Pa1 0.890 0.781 0.783 1
Pa2 0.109 0.218 0.657 1
Pa3 0.110 0.219 0.283 1
Pa4 0.891 0.782 0.157 1
N1 0.373 0.746 0.004 1
N2 0.622 0.245 0.833 1
N3 0.527 0.054 0.782 1
N4 0.295 0.590 0.706 1
N5 0.953 0.905 0.589 1
N6 0.627 0.254 0.504 1
N7 0.378 0.755 0.333 1
N8 0.473 0.946 0.282 1
N9 0.705 0.410 0.206 1
N10 0.047 0.095 0.089 1
# Symmetry ... Cmc2_1 (36)
# Crystal system ... orthorhombic
# Uncorrected formation energy ... -1083 meV/atom

---

No. 4
# PBE-GGA LiPr3Pa2N6, optimized geometry
data_LiPr3Pa2N6
_chemical_formula_sum 'Li1 Pr3 Pa2 N6'
_cell_length_a 6.153
_cell_length_b 6.153
_cell_length_c 6.253
_cell_angle_alpha 99.35
_cell_angle_beta 99.35
_cell_angle_gamma 119.96
_symmetry_space_group_name_H-M 'P 1'
_symmetry_Int_Tables_number 1
_symmetry_space_group_name_Hall 'P 1'
loop_
_atom_site_label
_atom_site_fract_x
_atom_site_fract_y
_atom_site_fract_z
_atom_site_occupancy
Li1 0.000 0.000 0.000 1
Pr1 0.161 0.839 0.500 1
Pr2 0.839 0.161 0.500 1
Pr3 0.500 0.500 0.500 1
Pa1 0.333 0.667 0.000 1
Pa2 0.667 0.333 0.000 1
N1 0.924 0.557 0.774 1
N2 0.706 0.706 0.218 1
N3 0.076 0.443 0.226 1
N4 0.557 0.924 0.774 1
N5 0.294 0.294 0.782 1
N6 0.443 0.076 0.226 1
# Symmetry ... C2/m (12)
# Crystal system ... monoclinic
# Uncorrected formation energy ... -1354 meV/atom

---

No. 5
# PBE-GGA LiPaPtN, optimized geometry
data_LiPaPtN
_chemical_formula_sum 'Li2 Pa2 Pt2 N2'
_cell_length_a 3.805
_cell_length_b 3.805
_cell_length_c 9.185
_cell_angle_alpha 90.00
_cell_angle_beta 90.00
_cell_angle_gamma 90.00
_symmetry_space_group_name_H-M 'P 1'
_symmetry_Int_Tables_number 1
_symmetry_space_group_name_Hall 'P 1'
loop_
_atom_site_label
_atom_site_fract_x
_atom_site_fract_y
_atom_site_fract_z
_atom_site_occupancy
Li1 0.000 0.000 0.500 1
Li2 0.500 0.500 0.500 1
Pa1 0.000 0.500 0.865 1
Pa2 0.500 0.000 0.135 1
Pt1 0.500 0.000 0.700 1
Pt2 0.000 0.500 0.300 1
N1 0.500 0.500 0.000 1
N2 0.000 0.000 0.000 1
# Symmetry ... P4/nmm (129)
# Crystal system ... tetragonal
# Uncorrected formation energy ... -1099 meV/atom

---

No. 6
# PBE-GGA LiPuPa4N8, optimized geometry
data_LiPuPa4N8
_chemical_formula_sum 'Li1 Pu1 Pa4 N8'
_cell_length_a 7.120
_cell_length_b 7.120
_cell_length_c 6.513
_cell_angle_alpha 56.87
_cell_angle_beta 56.87
_cell_angle_gamma 60.00
_symmetry_space_group_name_H-M 'P 1'
_symmetry_Int_Tables_number 1
_symmetry_space_group_name_Hall 'P 1'
loop_
_atom_site_label
_atom_site_fract_x
_atom_site_fract_y
_atom_site_fract_z
_atom_site_occupancy
Li1 0.993 0.993 0.022 1
Pu1 0.382 0.382 0.854 1
Pa1 0.598 0.598 0.205 1
Pa2 0.998 0.498 0.506 1
Pa3 0.498 0.998 0.506 1
Pa4 0.998 0.998 0.506 1
N1 0.267 0.780 0.687 1
N2 0.780 0.267 0.687 1
N3 0.267 0.267 0.687 1
N4 0.235 0.235 0.294 1
N5 0.758 0.220 0.265 1
N6 0.220 0.758 0.265 1
N7 0.758 0.758 0.265 1
N8 0.750 0.750 0.750 1
# Symmetry ... R3m (160)
# Crystal system ... trigonal
# Uncorrected formation energy ... -1370 meV/atom

---

> Which of these has the highest uncorrected formation energy?

LiPrPa2N5